Below is a relaxed Al2PCl crystal, with properties calculated at the PBE-GGA level.

Its energy above the most stable polymorph in this dataset is 143.1 meV per atom. The calculation puts the formation energy from raw total energies at -0.172 eV per atom. Its space group is P2/m. Its total energy is -3.858 eV per atom.

Structure (POSCAR):
```
Al2PCl
1.0
-0.9706 -1.5400 3.2847
3.2073 -5.4919 -1.6271
4.7104 -2.5401 0.2010
Al Cl P
2 1 1
direct
0.5000 0.5000 0.0000
0.0000 0.0000 0.0000
0.5000 0.5000 0.5000
0.0000 0.0000 0.5000
```